No. 1
This record from OQMD via LeMat-Bulk describes a relaxed K2RbTcF6 crystal. The functional is PBE.

* total magnetic moment: 2.00 μB/cell
* volume: 16.127 Å³ per atom
* energy above the most stable polymorph in this dataset: 0 meV/atom

a b c (Å): 6.196 6.196 6.196
angles (deg): 122.52 122.52 85.69
Site moments in Bohr magnetons follow the coordinates.
Atoms (fractional coordinates):
F 0.225 0.225 0.000  0.02
K 0.250 0.750 0.500  0.00
F 0.775 0.775 0.000  0.02
F 0.315 0.885 0.200  0.04
Tc 0.000 0.000 0.000  1.66
F 0.685 0.115 0.800  0.04
K 0.750 0.250 0.500  0.00
F 0.885 0.685 0.570  0.04
Rb 0.500 0.500 0.000  0.00
F 0.115 0.315 0.430  0.04



No. 2
This record from OQMD via LeMat-Bulk describes a relaxed K2RbTcF6 crystal. The functional is PBE.

* total magnetic moment: 2.00 μB/cell
* volume: 17.326 Å³ per atom
* energy above the most stable polymorph in this dataset: 39 meV/atom

a b c (Å): 6.258 6.258 6.258
angles (deg): 60.00 60.00 60.00
Site moments in Bohr magnetons follow the coordinates.
Atoms (fractional coordinates):
Tc 0.000 0.000 0.000  1.66
F 0.225 0.775 0.225  0.03
F 0.775 0.225 0.225  0.03
F 0.775 0.775 0.225  0.04
F 0.225 0.225 0.775  0.04
K 0.250 0.250 0.250  0.00
F 0.775 0.225 0.775  0.03
K 0.750 0.750 0.750  0.00
Rb 0.500 0.500 0.500  0.00
F 0.225 0.775 0.775  0.03



no.,raw total energy (eV per atom),mass density (g cm⁻³)
1,-4.835,3.9
2,-4.796,3.6